# 1
VASP calculation (PBE) on an optimized crystal structure of MnBeTe2.

Cell and atoms, written as CIF:
```
data_MnBeTe2
_chemical_formula_sum 'Mn4 Be4 Te8'
_space_group_name_H-M_alt 'P 1'
_space_group_IT_number 1
_space_group_name_Hall 'P 1'
_cell_length_a 7.074
_cell_length_b 7.074
_cell_length_c 7.074
_cell_angle_alpha 90.00
_cell_angle_beta 90.00
_cell_angle_gamma 90.00
loop_
_atom_site_label
_atom_site_type_symbol
_atom_site_fract_x
_atom_site_fract_y
_atom_site_fract_z
Mn1 Mn 0.000 0.000 0.000
Mn2 Mn 0.000 0.500 0.500
Mn3 Mn 0.500 0.000 0.500
Mn4 Mn 0.500 0.500 0.000
Be1 Be 0.250 0.250 0.250
Be2 Be 0.250 0.750 0.750
Be3 Be 0.750 0.250 0.750
Be4 Be 0.750 0.750 0.250
Te1 Te 0.000 0.000 0.500
Te2 Te 0.000 0.500 0.000
Te3 Te 0.250 0.250 0.750
Te4 Te 0.250 0.750 0.250
Te5 Te 0.500 0.000 0.000
Te6 Te 0.500 0.500 0.500
Te7 Te 0.750 0.250 0.250
Te8 Te 0.750 0.750 0.750
```

Results
**V**: 354.0 Å³/cell
**Uncorrected formation energy**: 0.838 eV per atom
**Total moment**: 17.34 Bohr magnetons per cell
**Space-group type**: F-43m

***

# 2
VASP calculation (PBE) on an optimized crystal structure of LaPtO3.

Cell and atoms, written as CIF:
```
data_LaPtO3
_chemical_formula_sum 'La1 Pt1 O3'
_space_group_name_H-M_alt 'P 1'
_space_group_IT_number 1
_space_group_name_Hall 'P 1'
_cell_length_a 4.455
_cell_length_b 4.455
_cell_length_c 4.455
_cell_angle_alpha 90.00
_cell_angle_beta 90.00
_cell_angle_gamma 90.00
loop_
_atom_site_label
_atom_site_type_symbol
_atom_site_fract_x
_atom_site_fract_y
_atom_site_fract_z
La1 La 0.000 0.000 0.000
Pt1 Pt 0.500 0.500 0.500
O1 O 0.000 0.000 0.500
O2 O 0.000 0.500 0.000
O3 O 0.500 0.000 0.000
```

Results
**V**: 88.4 Å³/cell
**Uncorrected formation energy**: -0.395 eV per atom
**Total moment**: 3.00 Bohr magnetons per cell
**Space-group type**: Pm-3m

***

# 3
VASP calculation (PBE) on an optimized crystal structure of ZrF.

Cell and atoms, written as CIF:
```
data_ZrF
_chemical_formula_sum 'Zr4 F4'
_space_group_name_H-M_alt 'P 1'
_space_group_IT_number 1
_space_group_name_Hall 'P 1'
_cell_length_a 5.176
_cell_length_b 5.176
_cell_length_c 5.176
_cell_angle_alpha 90.00
_cell_angle_beta 90.00
_cell_angle_gamma 90.00
loop_
_atom_site_label
_atom_site_type_symbol
_atom_site_fract_x
_atom_site_fract_y
_atom_site_fract_z
Zr1 Zr 0.000 0.000 0.000
Zr2 Zr 0.000 0.500 0.500
Zr3 Zr 0.500 0.000 0.500
Zr4 Zr 0.500 0.500 0.000
F1 F 0.250 0.250 0.250
F2 F 0.250 0.750 0.750
F3 F 0.750 0.250 0.750
F4 F 0.750 0.750 0.250
```

Results
**V**: 138.7 Å³/cell
**Uncorrected formation energy**: -1.541 eV per atom
**Polymorph energy (0 for the lowest one)**: 0.719 eV per atom
**Total moment**: 0.00 Bohr magnetons per cell
**Space-group type**: F-43m

***

What is the formula in the third record?
ZrF